Record 1
# Sr2TcMo

An optimized crystal structure of Sr2TcMo (PBE-GGA, Alexandria).

The structure in POSCAR format:
```
Sr2TcMo
1.0
10.7220 -0.0146 -0.0086
10.2487 3.1504 -0.0086
10.2487 1.5325 2.7526
Mo Sr Tc
1 2 1
Cartesian
23.4146 3.5012 2.0516 Mo
31.1287 4.6547 2.7275 Sr
15.7006 2.3477 1.3757 Sr
7.8049 1.1671 0.6839 Tc
```

Output
Polymorph energy (0 for the lowest one) in eV/atom: 0.9992
Formation energy in eV per formula unit: 5.51
Calculated volume in Å³ per cell: 94
VASP energy in eV per atom: -4.764
Crystal system: trigonal
Size of the total moment in μB/f.u.: 1.674
Symmetry: R-3m (166)

Record 2
# SrTcMo2

An optimized crystal structure of SrTcMo2 (PBE-GGA, Alexandria).

The structure in POSCAR format:
```
SrTcMo2
1.0
-4.0575 -2.9610 2.7503
4.1174 -2.5245 -3.0773
1.5629 -0.1131 2.1839
Mo Sr Tc
2 1 1
Cartesian
0.0000 0.0000 0.0000 Mo
0.0299 -2.7428 -0.1635 Mo
-1.2473 -1.5371 2.4671 Sr
2.8401 -1.3188 -0.4467 Tc
```

Output
Polymorph energy (0 for the lowest one) in eV/atom: 0.4805
Formation energy in eV per formula unit: 4.32
Calculated volume in Å³ per cell: 74
VASP energy in eV per atom: -7.347
Crystal system: orthorhombic
Size of the total moment in μB/f.u.: 0.000
Symmetry: Cmmm (65)

Record 3
# SrTcMo2

An optimized crystal structure of SrTcMo2 (PBE-GGA, Alexandria).

The structure in POSCAR format:
```
SrTcMo2
1.0
-5.5137 0.3554 1.3466
-1.4997 -1.7787 5.1892
2.9908 3.6416 -3.1834
Mo Sr Tc
2 1 1
Cartesian
-0.2212 -0.0449 0.2061 Mo
-3.2855 -0.6668 3.0617 Mo
-3.0148 1.6427 0.7155 Sr
-1.0078 0.5756 2.6368 Tc
```

Output
Polymorph energy (0 for the lowest one) in eV/atom: 0.2705
Formation energy in eV per formula unit: 3.48
Calculated volume in Å³ per cell: 77
VASP energy in eV per atom: -7.557
Crystal system: orthorhombic
Size of the total moment in μB/f.u.: 0.000
Symmetry: Immm (71)

Record 4
# SrTcMo2

An optimized crystal structure of SrTcMo2 (PBE-GGA, Alexandria).

The structure in POSCAR format:
```
SrTcMo2
1.0
-8.2156 -6.1037 1.1062
-6.7009 -7.7824 -0.7123
-6.2099 -7.9257 2.1438
Mo Sr Tc
2 1 1
Cartesian
-0.2588 -0.2672 0.0311 Mo
-10.3044 -10.6387 1.2377 Mo
-5.2816 -5.4529 0.6344 Sr
-15.8447 -16.3588 1.9032 Tc
```

Output
Polymorph energy (0 for the lowest one) in eV/atom: 0.2851
Formation energy in eV per formula unit: 3.54
Calculated volume in Å³ per cell: 74
VASP energy in eV per atom: -7.542
Crystal system: trigonal
Size of the total moment in μB/f.u.: 0.000
Symmetry: R-3m (166)